[1]
Compound: MgAgPO
Source: OQMD via LeMat-Bulk
Functional: PBE-GGA
Structure: relaxed

Lattice parameters (Å, degrees): 4.0565 4.0565 8.6042 90.00 90.00 90.00
Element x y z (fractional)
Ag 0.5000 0.5000 0.5000
Ag 0.0000 0.0000 0.5000
P 0.5000 0.0000 0.3329
P 0.0000 0.5000 0.6671
O 0.5000 0.5000 0.0000
O 0.0000 0.0000 0.0000
Mg 0.0000 0.5000 0.9965
Mg 0.5000 0.0000 0.0035

Space group ... P4/nmm
ΔE to the lowest computed polymorph ... 0.000 eV/atom

***

[2]
Compound: Cu5Ag4
Source: OQMD via LeMat-Bulk
Functional: PBE-GGA
Structure: relaxed

Lattice parameters (Å, degrees): 6.0543 6.0543 6.1235 107.04 107.04 37.96
Element x y z (fractional)
Cu 0.7178 0.7178 0.8091
Cu 0.1685 0.1685 0.4952
Cu 0.8315 0.8315 0.5048
Cu 0.2822 0.2822 0.1909
Cu 0.5000 0.5000 0.5000
Ag 0.3797 0.3797 0.8259
Ag 0.9386 0.9386 0.1805
Ag 0.6203 0.6203 0.1741
Ag 0.0614 0.0614 0.8195

Space group ... C2/m
E_form ... 0.088 eV/atom
ΔE to the lowest computed polymorph ... 0.047 eV/atom

***

[3]
Compound: Cu6Hg3Sb4S12
Source: OQMD via LeMat-Bulk
Functional: PBE-GGA
Structure: relaxed

Lattice parameters (Å, degrees): 8.7560 8.7560 8.7560 107.53 107.53 107.53
Element x y z (fractional)
Sb 0.8340 0.5546 0.6219
Sb 0.9771 0.9771 0.9771
Sb 0.6219 0.8340 0.5546
Sb 0.5546 0.6219 0.8340
S 0.4596 0.8283 0.0100
S 0.5072 0.0619 0.6389
S 0.6389 0.5072 0.0619
S 0.8283 0.0100 0.4596
S 0.6022 0.2846 0.3519
S 0.0619 0.6389 0.5072
S 0.9272 0.2170 0.1653
S 0.0100 0.4596 0.8283
S 0.2846 0.3519 0.6022
S 0.3519 0.6022 0.2846
S 0.2170 0.1653 0.9272
S 0.1653 0.9272 0.2170
Cu 0.0820 0.2340 0.7031
Cu 0.7031 0.0820 0.2340
Cu 0.2340 0.7031 0.0820
Cu 0.1876 0.4524 0.3964
Cu 0.4524 0.3964 0.1876
Cu 0.3964 0.1876 0.4524
Hg 0.9315 0.7847 0.3156
Hg 0.7847 0.3156 0.9315
Hg 0.3156 0.9315 0.7847

Space group ... R3
Calculated total energy ... -3.79 eV per atom

***

[4]
Compound: ZrTlB4
Source: OQMD via LeMat-Bulk
Functional: PBE-GGA
Structure: relaxed

Lattice parameters (Å, degrees): 5.1064 5.1064 5.1064 144.00 117.47 74.32
Element x y z (fractional)
B 0.9116 0.2418 0.6697
B 0.0885 0.7582 0.3303
B 0.5721 0.2418 0.3303
B 0.4279 0.7582 0.6697
Zr 0.5000 0.5000 0.0000
Tl 0.0000 0.0000 0.0000

Space group ... Immm
ΔE to the lowest computed polymorph ... 0.180 eV/atom
M_tot ... 0.00 Bohr magnetons per cell

***

[5]
Compound: Li2Zr2Ga2PdPt
Source: OQMD via LeMat-Bulk
Functional: PBE-GGA
Structure: relaxed

Lattice parameters (Å, degrees): 4.4802 4.4802 6.3370 90.00 90.00 90.00
Element x y z (fractional)
Ga 0.0000 0.5000 0.7506
Ga 0.5000 0.0000 0.2494
Pt 0.5000 0.5000 0.5000
Zr 0.5000 0.0000 0.7501
Zr 0.0000 0.5000 0.2499
Pd 0.0000 0.0000 0.0000
Li 0.0000 0.0000 0.5000
Li 0.5000 0.5000 0.0000

Space group ... P-4m2
Calculated total energy ... -5.51 eV per atom
M_tot ... 0.01 Bohr magnetons per cell

***

[6]
Compound: Pr3Si2Ge2Ir4
Source: OQMD via LeMat-Bulk
Functional: PBE-GGA
Structure: relaxed

Lattice parameters (Å, degrees): 12.8920 12.8920 12.8920 161.54 161.23 26.44
Element x y z (fractional)
Si 0.6993 0.1993 0.5000
Si 0.3007 0.8007 0.5000
Pr 0.8542 0.3542 0.5000
Pr 0.5000 0.5000 0.0000
Pr 0.1458 0.6458 0.5000
Ge 0.9498 0.9498 0.0000
Ge 0.0502 0.0502 0.0000
Ir 0.7498 0.7498 0.0000
Ir 0.2502 0.2502 0.0000
Ir 0.6038 0.1038 0.5000
Ir 0.3962 0.8962 0.5000

Space group ... Immm
Calculated total energy ... -7.29 eV per atom
M_tot ... 0.00 Bohr magnetons per cell

***

[7]
Compound: Tm3Mg3Ag2Pd
Source: OQMD via LeMat-Bulk
Functional: PBE-GGA
Structure: relaxed

Lattice parameters (Å, degrees): 7.4729 7.4729 4.1087 90.00 90.00 120.00
Element x y z (fractional)
Pd 0.0000 0.0000 0.0000
Tm 0.5942 0.5942 0.0000
Tm 0.4058 0.0000 0.0000
Tm 0.0000 0.4058 0.0000
Ag 0.6667 0.3333 0.5000
Ag 0.3333 0.6667 0.5000
Mg 0.0000 0.7589 0.5000
Mg 0.7589 0.0000 0.5000
Mg 0.2411 0.2411 0.5000

Space group ... P-62m
Calculated total energy ... -3.61 eV per atom
M_tot ... 0.03 Bohr magnetons per cell

***

[8]
Compound: SrErNO
Source: OQMD via LeMat-Bulk
Functional: PBE-GGA
Structure: relaxed

Lattice parameters (Å, degrees): 4.1009 4.1009 8.3397 89.94 89.94 90.00
Element x y z (fractional)
Er 0.2503 0.2503 0.1093
Er 0.7512 0.7512 0.8917
Sr 0.7507 0.2508 0.5007
Sr 0.2508 0.7507 0.5007
N 0.7512 0.7512 0.3297
N 0.2503 0.2503 0.6719
O 0.2508 0.7506 0.0006
O 0.7506 0.2508 0.0006

Space group ... C2/m
ΔE to the lowest computed polymorph ... 0.815 eV/atom
M_tot ... 0.00 Bohr magnetons per cell

***

[9]
Compound: SrLa2Hg3PdAu2
Source: OQMD via LeMat-Bulk
Functional: PBE-GGA
Structure: relaxed

Lattice parameters (Å, degrees): 4.0580 8.0593 8.0593 119.74 90.00 90.00
Element x y z (fractional)
La 0.0000 0.0004 0.6057
La 0.0000 0.6057 0.0004
Pd 0.0000 0.9943 0.9943
Au 0.5000 0.3332 0.6729
Au 0.5000 0.6729 0.3332
Hg 0.5000 0.2553 0.0015
Hg 0.5000 0.0015 0.2553
Hg 0.5000 0.7419 0.7419
Sr 0.0000 0.3948 0.3948

Space group ... Amm2
Calculated total energy ... -3.36 eV per atom
M_tot ... 0.01 Bohr magnetons per cell

***

[10]
Compound: AcScCo
Source: OQMD via LeMat-Bulk
Functional: PBE-GGA
Structure: relaxed

Lattice parameters (Å, degrees): 4.7604 4.7604 4.7604 60.00 60.00 60.00
Element x y z (fractional)
Sc 0.7500 0.7500 0.7500
Ac 0.0000 0.0000 0.0000
Co 0.2500 0.2500 0.2500

Space group ... F-43m
E_form ... 0.994 eV/atom
ΔE to the lowest computed polymorph ... 0.272 eV/atom
M_tot ... 0.00 Bohr magnetons per cell

***

[11]
Compound: SrLuPu
Source: OQMD via LeMat-Bulk
Functional: PBE-GGA
Structure: relaxed

Lattice parameters (Å, degrees): 5.6716 5.6716 5.6716 60.00 60.00 60.00
Last column: magnetic moment on the atom in μB.
Element x y z (fractional)
Pu 0.2500 0.2500 0.2500  5.99
Sr 0.5000 0.5000 0.5000  0.15
Lu 0.0000 0.0000 0.0000  0.54

Space group ... F-43m
Calculated total energy ... -5.83 eV per atom
M_tot ... 7.96 Bohr magnetons per cell

***

[12]
Compound: Sr2TbNb2
Source: OQMD via LeMat-Bulk
Functional: PBE-GGA
Structure: relaxed

Lattice parameters (Å, degrees): 4.6928 4.6928 8.0017 107.05 107.05 90.00
Element x y z (fractional)
Nb 0.4238 0.4238 0.8477
Nb 0.5762 0.5762 0.1523
Sr 0.7500 0.2500 0.5000
Sr 0.2500 0.7500 0.5000
Tb 0.0000 0.0000 0.0000

Space group ... I4/mmm
ΔE to the lowest computed polymorph ... 0.212 eV/atom
M_tot ... 0.42 Bohr magnetons per cell